w | The following is a DFT calculation (PBE) of a geometry-optimized LiGdHg2 structure.

Properties
As for the density of states at the Fermi level: 2.423 states/eV per cell. Its total magnetization is 7.312 μB per cell.

a b c (Å): 5.1991 5.1991 3.5410
angles (deg): 90.00 90.00 90.00
Space group P4/mmm (No. 123)
Inequivalent atoms, fractional coordinates:
Li  0.0000  0.0000  0.0000 x1
Gd  0.5000  0.5000  0.0000 x1
Hg  0.0000  0.5000  0.5000 x2


x | The following is a DFT calculation (PBE) of a geometry-optimized LiGdHg2 structure.

Properties
As for the density of states at the Fermi level: 3.459 states/eV per cell. Its total magnetization is 7.590 μB per cell.

a b c (Å): 3.5046 3.5046 7.3343
angles (deg): 90.00 90.00 90.00
Space group P4/mmm (No. 123)
Inequivalent atoms, fractional coordinates:
Li  0.0000  0.0000  0.0000 x1
Gd  0.0000  0.0000  0.5000 x1
Hg  0.5000  0.5000  0.2145 x2


In terms of stability, x leads; the second structure lies 22 meV/atom higher.


w | The following is a DFT calculation (PBE) of a geometry-optimized GdLuHg2 structure.

Properties
As for the density of states at the Fermi level: 4.273 states/eV per cell. Its total magnetization is 7.479 μB per cell.

a b c (Å): 3.6589 3.6589 7.5596
angles (deg): 90.00 90.00 90.00
Space group P4/mmm (No. 123)
Inequivalent atoms, fractional coordinates:
Gd  0.0000  0.0000  0.0000 x1
Lu  0.0000  0.0000  0.5000 x1
Hg  0.5000  0.5000  0.2658 x2


x | The following is a DFT calculation (PBE) of a geometry-optimized GdLuHg2 structure.

Properties
As for the density of states at the Fermi level: 16.519 states/eV per cell. Its total magnetization is 29.705 μB per cell.

a b c (Å): 7.4046 7.4046 7.4046
angles (deg): 90.00 90.00 90.00
Space group Fm-3m (No. 225)
Inequivalent atoms, fractional coordinates:
Gd  0.0000  0.0000  0.0000 x4
Lu  0.0000  0.0000  0.5000 x4
Hg  0.2500  0.2500  0.2500 x8


In terms of stability, w leads; the second structure lies 12 meV/atom higher.